[1]
PBE Li2AgF3, relaxed; final energy = -0.3141 Ry per atom; formation energy from raw total energies = -2.22 eV/atom; space-group type = P2_1/m, No. 11; ΔE to the lowest computed polymorph = 45 meV per atom
1.0
5.907 0.000 0.000
0.000 2.943 0.000
-1.856 0.000 7.924
Li Ag F
4 2 6
direct
0.019 0.250 0.341
0.187 0.250 0.974
0.813 0.750 0.026
0.981 0.750 0.659
0.485 0.250 0.669
0.515 0.750 0.331
0.150 0.750 0.135
0.182 0.750 0.474
0.269 0.750 0.831
0.731 0.250 0.169
0.818 0.250 0.526
0.850 0.250 0.865

***

[2]
PBE CaFeCu2, relaxed; final energy = -0.3085 Ry per atom; space-group type = I-42d, No. 122; ΔH_f (0 K) = 466 meV/atom
1.0
-2.304 2.304 8.191
2.304 -2.304 8.191
2.304 2.304 -8.191
Ca Fe Cu
2 2 4
direct
0.000 0.000 0.000
0.750 0.250 0.500
0.250 0.750 0.500
0.500 0.500 0.000
0.355 0.625 0.230
0.375 0.605 0.730
0.395 0.125 0.770
0.875 0.645 0.270

***

[3]
PBE Zr3ReRu, relaxed; final energy = -0.6265 Ry per atom; space-group type = Pm-3m, No. 221; ΔH_f (0 K) = 949 meV/atom; ΔE to the lowest computed polymorph = 63 meV per atom
1.0
4.983 0.000 0.000
0.000 4.983 0.000
0.000 0.000 4.983
Zr Re Ru
3 1 1
direct
0.000 0.000 0.500
0.000 0.500 0.000
0.500 0.000 0.000
0.000 0.000 0.000
0.500 0.500 0.500

***

[4]
PBE Ac4PdAuI2, relaxed; final energy = -0.3262 Ry per atom; formation energy from raw total energies = -0.94 eV/atom; space-group type = P2/m, No. 10
1.0
7.828 0.000 0.000
0.000 4.593 0.000
-2.642 0.000 8.556
Ac Pd Au I
4 1 1 2
direct
0.226 0.000 0.192
0.261 0.500 0.810
0.739 0.500 0.190
0.774 0.000 0.808
0.000 0.500 0.000
0.500 0.000 0.000
0.000 0.000 0.500
0.500 0.500 0.500

***

What did we get for total magnetization? Answer: 0.00 2.81 0.00 0.00 μB/f.u., in the order shown.